Here is a relaxed CsRbCd10 crystal from Alexandria. Energies are from PBE-GGA.

Properties
V	30.36	A^3/atom
D(E_F)	7.6	states/eV per cell
total magnetic moment	0.00	μB/atom
ΔE_f	-0.5	eV per formula unit

a = 4.631 Å, b = 6.736 Å, c = 11.679 Å
α = 90.00°, β = 90.00°, γ = 90.00°
Space group Pmmm (No. 47)
Asymmetric unit:
Cs 0.000 0.000 0.000 x1
Rb 0.000 0.500 0.500 x1
Cd 0.000 0.000 0.337 x2
Cd 0.000 0.500 0.170 x2
Cd 0.500 0.000 0.500 x1
Cd 0.500 0.255 0.257 x4
Cd 0.500 0.500 0.000 x1

***

Here is a relaxed Pu2Si2BOs2 crystal from Alexandria. Energies are from PBE-GGA.

Properties
V	17.49	A^3/atom
D(E_F)	40.0	states/eV per cell
total magnetic moment	1.48	μB/atom
energy relative to the elements, uncorrected	-476	meV/atom

a = 10.815 Å, b = 4.152 Å, c = 6.975 Å
α = 90.00°, β = 128.56°, γ = 90.00°
Space group C2/m (No. 12)
Asymmetric unit:
Pu 0.072 0.000 0.339 x4
Si 0.148 0.500 0.099 x4
B 0.000 0.500 0.500 x2
Os 0.214 0.500 0.824 x4

***

Here is a relaxed CrSb2S6 crystal from Alexandria. Energies are from PBE-GGA.

Properties
V	25.31	A^3/atom
D(E_F)	4.8	states/eV per cell
total magnetic moment	0.23	μB/atom
energy relative to the elements, uncorrected	-291	meV/atom

a = 16.703 Å, b = 3.640 Å, c = 7.949 Å
α = 90.00°, β = 109.50°, γ = 90.00°
Space group C2/m (No. 12)
Asymmetric unit:
Cr 0.000 0.000 0.000 x2
Sb 0.161 0.500 0.326 x4
S 0.001 0.500 0.203 x4
S 0.151 0.000 0.089 x4
S 0.172 0.000 0.571 x4

***

Here is a relaxed YTmRuAu crystal from Alexandria. Energies are from PBE-GGA.

Properties
V	21.09	A^3/atom
D(E_F)	8.0	states/eV per cell
total magnetic moment	0.00	μB/atom
ΔE_f	-2.4	eV per formula unit

a = 6.962 Å, b = 6.962 Å, c = 6.962 Å
α = 90.00°, β = 90.00°, γ = 90.00°
Space group F-43m (No. 216)
Asymmetric unit:
Y 0.000 0.000 0.000 x4
Tm 0.000 0.000 0.500 x4
Ru 0.250 0.250 0.250 x4
Au 0.250 0.250 0.750 x4

***

Here is a relaxed TaRu3F crystal from Alexandria. Energies are from PBE-GGA.

Properties
V	14.55	A^3/atom
D(E_F)	6.0	states/eV per cell
total magnetic moment	0.00	μB/atom
energy above the most stable polymorph in this dataset	0	meV/atom
energy relative to the elements, uncorrected	621	meV/atom

a = 4.175 Å, b = 4.175 Å, c = 4.175 Å
α = 90.00°, β = 90.00°, γ = 90.00°
Space group Pm-3m (No. 221)
Asymmetric unit:
Ta 0.000 0.000 0.000 x1
Ru 0.000 0.500 0.500 x3
F 0.500 0.500 0.500 x1

***

Here is a relaxed Ba2NbCl crystal from Alexandria. Energies are from PBE-GGA.

Properties
V	37.51	A^3/atom
D(E_F)	15.4	states/eV per cell
total magnetic moment	1.39	μB/atom
energy above the most stable polymorph in this dataset	61	meV/atom
energy relative to the elements, uncorrected	171	meV/atom

a = 8.435 Å, b = 8.435 Å, c = 8.435 Å
α = 90.00°, β = 90.00°, γ = 90.00°
Space group Fm-3m (No. 225)
Asymmetric unit:
Ba 0.250 0.250 0.250 x8
Nb 0.000 0.000 0.000 x4
Cl 0.000 0.000 0.500 x4

***

Here is a relaxed LaSc2CdCo crystal from Alexandria. Energies are from PBE-GGA.

Properties
V	25.62	A^3/atom
D(E_F)	5.8	states/eV per cell
total magnetic moment	0.00	μB/atom
energy above the most stable polymorph in this dataset	3	meV/atom
ΔE_f	-0.5	eV per formula unit

a = 4.970 Å, b = 4.970 Å, c = 5.185 Å
α = 90.00°, β = 90.00°, γ = 90.00°
Space group P4/mmm (No. 123)
Asymmetric unit:
La 0.000 0.000 0.000 x1
Sc 0.000 0.500 0.500 x2
Cd 0.500 0.500 0.000 x1
Co 0.000 0.000 0.500 x1

***

Here is a relaxed LiErAlGa2 crystal from Alexandria. Energies are from PBE-GGA.

Properties
V	18.61	A^3/atom
D(E_F)	2.8	states/eV per cell
total magnetic moment	0.00	μB/atom
ΔE_f	-2.3	eV per formula unit

a = 4.091 Å, b = 4.091 Å, c = 11.118 Å
α = 90.00°, β = 90.00°, γ = 90.00°
Space group I-4m2 (No. 119)
Asymmetric unit:
Li 0.000 0.000 0.000 x2
Er 0.000 0.500 0.250 x2
Al 0.000 0.000 0.500 x2
Ga 0.000 0.500 0.640 x4

***

Here is a relaxed NiMo2Cl crystal from Alexandria. Energies are from PBE-GGA.

Properties
V	14.38	A^3/atom
D(E_F)	7.4	states/eV per cell
total magnetic moment	0.00	μB/atom
energy above the most stable polymorph in this dataset	289	meV/atom
energy relative to the elements, uncorrected	500	meV/atom

a = 2.798 Å, b = 4.496 Å, c = 9.142 Å
α = 90.00°, β = 90.00°, γ = 90.00°
Space group Imm2 (No. 44)
Asymmetric unit:
Ni 0.000 0.000 0.000 x2
Mo 0.000 0.000 0.470 x2
Mo 0.000 0.500 0.254 x2
Cl 0.000 0.500 0.749 x2

***

Here is a relaxed NiP2PtS crystal from Alexandria. Energies are from PBE-GGA.

Properties
V	16.48	A^3/atom
D(E_F)	4.3	states/eV per cell
total magnetic moment	0.00	μB/atom
energy above the most stable polymorph in this dataset	0	meV/atom
energy relative to the elements, uncorrected	689	meV/atom

a = 4.275 Å, b = 4.275 Å, c = 4.509 Å
α = 90.00°, β = 90.00°, γ = 90.00°
Space group P4/mmm (No. 123)
Asymmetric unit:
Ni 0.000 0.000 0.000 x1
P 0.000 0.500 0.000 x2
Pt 0.500 0.500 0.500 x1
S 0.000 0.000 0.500 x1

***

Here is a relaxed BiSb2BrN crystal from Alexandria. Energies are from PBE-GGA.

Properties
V	30.60	A^3/atom
D(E_F)	7.0	states/eV per cell
total magnetic moment	0.00	μB/atom
energy relative to the elements, uncorrected	1192	meV/atom

a = 6.004 Å, b = 6.004 Å, c = 4.245 Å
α = 90.00°, β = 90.00°, γ = 90.00°
Space group P4/mmm (No. 123)
Asymmetric unit:
Bi 0.000 0.000 0.000 x1
Sb 0.000 0.500 0.000 x2
Br 0.500 0.500 0.500 x1
N 0.000 0.000 0.500 x1

***

Here is a relaxed Co2SiAu crystal from Alexandria. Energies are from PBE-GGA.

Properties
V	13.05	A^3/atom
D(E_F)	19.1	states/eV per cell
total magnetic moment	0.67	μB/atom
energy relative to the elements, uncorrected	171	meV/atom

a = 5.932 Å, b = 5.932 Å, c = 5.932 Å
α = 90.00°, β = 90.00°, γ = 90.00°
Space group F-43m (No. 216)
Asymmetric unit:
Co 0.000 0.000 0.000 x4
Co 0.250 0.250 0.250 x4
Si 0.250 0.250 0.750 x4
Au 0.000 0.000 0.500 x4